No. 1
VASP calculation (PBE) on LuTiMo4 after structural relaxation.

Unit cell a=5.3564 b=5.3564 c=5.3564 alpha=60.00 beta=60.00 gamma=60.00
With the nearest neighbours (Å) after each atom.
Positions (direct):
Lu  0.0000  0.0000  0.0000  12 Mo 3.14, 4 Ti 3.28
Ti  0.7500  0.7500  0.7500  12 Mo 3.14, 4 Lu 3.28
Mo  0.3750  0.3750  0.3750  6 Mo 2.68
Mo  0.3750  0.3750  0.8750  6 Mo 2.68
Mo  0.3750  0.8750  0.3750  6 Mo 2.68
Mo  0.8750  0.3750  0.3750  6 Mo 2.68

Results
**Space-group type**: F-43m
**Uncorrected energy**: -9.26 eV per atom
**Energy of formation from the pure elements**: 28 meV/atom



No. 2
VASP calculation (PBE) on ZrBeAg3 after structural relaxation.

Unit cell a=4.4601 b=4.4601 c=4.4601 alpha=90.00 beta=90.00 gamma=90.00
With the nearest neighbours (Å) after each atom.
Positions (direct):
Zr  0.0000  0.0000  0.0000  12 Ag 3.15
Be  0.5000  0.5000  0.5000  6 Ag 2.23
Ag  0.0000  0.5000  0.5000  2 Be 2.23
Ag  0.5000  0.0000  0.5000  2 Be 2.23
Ag  0.5000  0.5000  0.0000  2 Be 2.23

Results
**Space-group type**: Pm-3m
**Relative energy among the computed polymorphs**: 0.000 eV/f.u.
**Uncorrected energy**: -3.87 eV per atom
**Energy of formation from the pure elements**: 292 meV/atom



No. 3
VASP calculation (PBE) on K2TlSnCl8 after structural relaxation.

Unit cell a=6.6940 b=6.7356 c=9.0508 alpha=90.02 beta=90.03 gamma=95.01
With the nearest neighbours (Å) after each atom.
Positions (direct):
K  0.0006  0.0011  0.2657  6 Cl 3.05-3.32
K  0.9994  0.9989  0.7343  6 Cl 3.05-3.32
Tl  0.5000  0.5000  0.0000  2 Cl 2.67
Sn  0.5000  0.5000  0.5000  6 Cl 2.45-2.50
Cl  0.1748  0.3010  0.5009  1 Sn 2.45
Cl  0.1844  0.2276  0.9995  1 Tl 2.67
Cl  0.3763  0.7135  0.3003  1 Sn 2.50
Cl  0.3779  0.7150  0.6993  1 Sn 2.50
Cl  0.6221  0.2850  0.3007  1 Sn 2.50
Cl  0.6237  0.2865  0.6997  1 Sn 2.50
Cl  0.8156  0.7724  0.0005  1 Tl 2.67
Cl  0.8252  0.6990  0.4991  1 Sn 2.45

Results
**Space-group type**: P-1
**Uncorrected energy**: -3.15 eV per atom
**Raw formation energy**: -1202 meV/atom



No. 4
VASP calculation (PBE) on Pr3P2PdRh9 after structural relaxation.

Unit cell a=6.0220 b=6.0220 c=9.2019 alpha=90.00 beta=90.00 gamma=120.00
With the nearest neighbours (Å) after each atom.
Positions (direct):
Pr  0.0000  0.0000  0.0000  12 Rh 3.01-3.02
Pr  0.3333  0.6667  0.6393  6 Rh 3.11
Pr  0.6667  0.3333  0.3607  6 Rh 3.11
P  0.3333  0.6667  0.1596  6 Rh 2.18-2.28
P  0.6667  0.3333  0.8404  6 Rh 2.18-2.28
Pd  0.0000  0.0000  0.5000  6 Rh 2.59
Rh  0.0000  0.5000  0.0000  2 P 2.28
Rh  0.1527  0.3054  0.2783  1 P 2.18
Rh  0.1527  0.8473  0.2783  1 P 2.18
Rh  0.3054  0.1527  0.7217  1 P 2.18
Rh  0.5000  0.0000  0.0000  2 P 2.28
Rh  0.5000  0.5000  0.0000  2 P 2.28
Rh  0.6946  0.8473  0.2783  1 P 2.18
Rh  0.8473  0.1527  0.7217  1 P 2.18
Rh  0.8473  0.6946  0.7217  1 P 2.18

Results
**Space-group type**: P-3m1
**Uncorrected energy**: -6.93 eV per atom
**Energy of formation from the pure elements**: -496 meV/atom



No. 5
VASP calculation (PBE) on BC4 after structural relaxation.

Unit cell a=6.8387 b=6.8387 c=3.7544 alpha=105.70 beta=105.70 gamma=21.17
With the nearest neighbours (Å) after each atom.
Positions (direct):
B  0.1490  0.1490  0.2654  4 C 1.61-1.67
B  0.8510  0.8510  0.7346  4 C 1.61-1.67
C  0.0472  0.0472  0.9179  3 C 1.55-1.56, 1 B 1.61
C  0.2537  0.2537  0.1209  3 C 1.51-1.54, 1 B 1.64
C  0.3509  0.3509  0.4413  2 C 1.51-1.55, 2 B 1.67
C  0.4523  0.4523  0.3214  4 C 1.55-1.58
C  0.5477  0.5477  0.6786  4 C 1.55-1.58
C  0.6491  0.6491  0.5587  2 C 1.51-1.55, 2 B 1.67
C  0.7463  0.7463  0.8791  3 C 1.51-1.54, 1 B 1.64
C  0.9528  0.9528  0.0821  3 C 1.55-1.56, 1 B 1.61

Results
**Space-group type**: C2/m
**Relative energy among the computed polymorphs**: 0.225 eV/f.u.
**Uncorrected energy**: -8.45 eV per atom
**Energy of formation from the pure elements**: 269 meV/atom



No. 6
VASP calculation (PBE) on PmMgPb after structural relaxation.

Unit cell a=4.5442 b=4.5442 c=8.1105 alpha=90.00 beta=90.00 gamma=90.00
With the nearest neighbours (Å) after each atom.
Positions (direct):
Pm  0.2500  0.2500  0.1519  5 Pb 3.24-3.31, 4 Mg 3.62
Pm  0.7500  0.7500  0.8481  5 Pb 3.24-3.31, 4 Mg 3.62
Mg  0.2500  0.7500  0.5000  4 Pb 3.06, 4 Mg 3.21
Mg  0.7500  0.2500  0.5000  4 Pb 3.06, 4 Mg 3.21
Pb  0.2500  0.2500  0.7520  4 Mg 3.06, 5 Pm 3.24-3.31
Pb  0.7500  0.7500  0.2480  4 Mg 3.06, 5 Pm 3.24-3.31

Results
**Space-group type**: P4/nmm
**Relative energy among the computed polymorphs**: 0.224 eV/f.u.
**Uncorrected energy**: -3.75 eV per atom
**Energy of formation from the pure elements**: -396 meV/atom